No. 1
Computed, not measured: a relaxed structure of Cs2PmMgI6 at the PBE level of DFT.

The structure in CIF format:
```
data_Cs2PmMgI6
_chemical_formula_sum 'Cs4 Pm2 Mg2 I12'
_symmetry_space_group_name_H-M 'P m m n'
_symmetry_Int_Tables_number 59
_cell_length_a 8.841
_cell_length_b 12.500
_cell_length_c 8.838
_cell_angle_alpha 90.00
_cell_angle_beta 90.00
_cell_angle_gamma 90.00
loop_
_symmetry_equiv_pos_as_xyz
'x,y,z'
'-x,-y,-z'
'-x+1/2,-y+1/2,z'
'x+1/2,y+1/2,-z'
'x+1/2,-y,-z'
'-x+1/2,y,z'
'-x,y+1/2,-z'
'x,-y+1/2,z'
loop_
_atom_site_label
_atom_site_fract_x
_atom_site_fract_y
_atom_site_fract_z
_atom_site_occupancy
Cs1 0.250 0.000 0.248 1
Pm1 0.250 0.250 0.749 1
Mg1 0.250 0.750 0.750 1
I1 0.001 0.750 0.003 1
I2 0.003 0.250 0.497 1
I3 0.250 0.001 0.753 1
```

Total magnetization ... 1.01 μB per cell
Formation energy (no corrections) ... -1246.9 meV/atom

---

No. 2
Computed, not measured: a relaxed structure of Cs2PuMgI6 at the PBE level of DFT.

The structure in CIF format:
```
data_Cs2PuMgI6
_chemical_formula_sum 'Cs12 Pu6 Mg6 I36'
_symmetry_space_group_name_H-M 'R -3 m'
_symmetry_Int_Tables_number 166
_symmetry_space_group_name_Hall '-R 3 2"'
_cell_length_a 8.6250
_cell_length_b 8.6250
_cell_length_c 43.4542
_cell_angle_alpha 90.00
_cell_angle_beta 90.00
_cell_angle_gamma 120.00
loop_
_atom_site_label
_atom_site_fract_x
_atom_site_fract_y
_atom_site_fract_z
_atom_site_occupancy
Cs1 0.0000 0.0000 0.1240 1
Cs2 0.0000 0.0000 0.2959 1
Pu1 0.0000 0.0000 0.4159 1
Mg1 0.0000 0.0000 0.0000 1
Mg2 0.0000 0.0000 0.5000 1
I1 0.0022 0.5011 0.1279 1
I2 0.0114 0.5057 0.7063 1
```

Total magnetization ... 36.01 μB per cell
Formation energy (no corrections) ... -1225.8 meV/atom

---

No. 3
Computed, not measured: a relaxed structure of CsPuMgI6 at the PBE level of DFT.

The structure in CIF format:
```
data_CsPuMgI6
_chemical_formula_sum 'Cs2 Pu2 Mg2 I12'
_symmetry_space_group_name_H-M 'P -3 1 c'
_symmetry_Int_Tables_number 163
_symmetry_space_group_name_Hall '-P 3 2c'
_cell_length_a 7.8967
_cell_length_b 7.8967
_cell_length_c 17.2960
_cell_angle_alpha 90.00
_cell_angle_beta 90.00
_cell_angle_gamma 120.00
loop_
_atom_site_label
_atom_site_fract_x
_atom_site_fract_y
_atom_site_fract_z
_atom_site_occupancy
Cs1 0.0000 0.0000 0.0000 1
Pu1 0.3333 0.6667 0.2500 1
Mg1 0.3333 0.6667 0.7500 1
I1 0.0150 0.3781 0.6502 1
```

Total magnetization ... 10.00 μB per cell
Formation energy (no corrections) ... -1162.2 meV/atom

---

No. 4
Computed, not measured: a relaxed structure of Cs2RbMg2I7 at the PBE level of DFT.

The structure in CIF format:
```
data_Cs2RbMg2I7
_chemical_formula_sum 'Cs4 Rb2 Mg4 I14'
_symmetry_space_group_name_H-M 'I 4/m m m'
_symmetry_Int_Tables_number 139
_symmetry_space_group_name_Hall '-I 4 2'
_cell_length_a 5.920
_cell_length_b 5.920
_cell_length_c 30.658
_cell_angle_alpha 90.00
_cell_angle_beta 90.00
_cell_angle_gamma 90.00
loop_
_atom_site_label
_atom_site_fract_x
_atom_site_fract_y
_atom_site_fract_z
_atom_site_occupancy
Cs1 0.000 0.000 0.179 1
Rb1 0.000 0.000 0.000 1
Mg1 0.000 0.000 0.402 1
I1 0.000 0.000 0.308 1
I2 0.000 0.000 0.500 1
I3 0.000 0.500 0.092 1
```

Total magnetization ... 0.00 μB per cell
Formation energy (no corrections) ... -1258.8 meV/atom

---

No. 5
Computed, not measured: a relaxed structure of CsRbMgI4 at the PBE level of DFT.

The structure in CIF format:
```
data_CsRbMgI4
_chemical_formula_sum 'Cs2 Rb2 Mg2 I8'
_symmetry_space_group_name_H-M 'P 1 21/m 1'
_symmetry_Int_Tables_number 11
_cell_length_a 8.469
_cell_length_b 8.375
_cell_length_c 10.655
_cell_angle_alpha 90.00
_cell_angle_beta 108.30
_cell_angle_gamma 90.00
loop_
_symmetry_equiv_pos_as_xyz
'x,y,z'
'-x,-y,-z'
'-x,y+1/2,-z'
'x,-y+1/2,z'
loop_
_atom_site_label
_atom_site_fract_x
_atom_site_fract_y
_atom_site_fract_z
_atom_site_occupancy
Cs1 0.227 0.250 0.431 1
Rb1 0.275 0.250 0.947 1
Mg1 0.277 0.750 0.192 1
I1 0.090 0.750 0.361 1
I2 0.095 0.750 0.931 1
I3 0.497 0.002 0.250 1
```

Total magnetization ... 0.00 μB per cell
Formation energy (no corrections) ... -1339.5 meV/atom

---

No. 6
Computed, not measured: a relaxed structure of Cs2RbMgI5 at the PBE level of DFT.

The structure in CIF format:
```
data_Cs2RbMgI5
_chemical_formula_sum 'Cs4 Rb2 Mg2 I10'
_symmetry_space_group_name_H-M 'I m m m'
_symmetry_Int_Tables_number 71
_symmetry_space_group_name_Hall '-I 2 2'
_cell_length_a 5.818
_cell_length_b 8.576
_cell_length_c 18.167
_cell_angle_alpha 90.00
_cell_angle_beta 90.00
_cell_angle_gamma 90.00
loop_
_atom_site_label
_atom_site_fract_x
_atom_site_fract_y
_atom_site_fract_z
_atom_site_occupancy
Cs1 0.000 0.000 0.206 1
Rb1 0.000 0.500 0.000 1
Mg1 0.000 0.500 0.500 1
I1 0.000 0.000 0.000 1
I2 0.000 0.253 0.384 1
```

Total magnetization ... 0.00 μB per cell
Formation energy (no corrections) ... -1336.5 meV/atom

---

No. 7
Computed, not measured: a relaxed structure of Cs2MgSI6 at the PBE level of DFT.

The structure in CIF format:
```
data_Cs2MgSI6
_chemical_formula_sum 'Cs4 Mg2 S2 I12'
_symmetry_space_group_name_H-M 'I 4/m m m'
_symmetry_Int_Tables_number 139
_symmetry_space_group_name_Hall '-I 4 2'
_cell_length_a 8.526
_cell_length_b 8.526
_cell_length_c 11.703
_cell_angle_alpha 90.00
_cell_angle_beta 90.00
_cell_angle_gamma 90.00
loop_
_atom_site_label
_atom_site_fract_x
_atom_site_fract_y
_atom_site_fract_z
_atom_site_occupancy
Cs1 0.000 0.500 0.250 1
Mg1 0.000 0.000 0.000 1
S1 0.000 0.000 0.500 1
I1 0.000 0.000 0.271 1
I2 0.238 0.238 0.000 1
```

Total magnetization ... 0.00 μB per cell
Formation energy (no corrections) ... -741.5 meV/atom

---

No. 8
Computed, not measured: a relaxed structure of CsMgSb2I at the PBE level of DFT.

The structure in CIF format:
```
data_CsMgSb2I
_chemical_formula_sum 'Cs1 Mg1 Sb2 I1'
_symmetry_space_group_name_H-M 'P 4/m m m'
_symmetry_Int_Tables_number 123
_symmetry_space_group_name_Hall '-P 4 2'
_cell_length_a 6.575
_cell_length_b 6.575
_cell_length_c 6.887
_cell_angle_alpha 90.00
_cell_angle_beta 90.00
_cell_angle_gamma 90.00
loop_
_atom_site_label
_atom_site_fract_x
_atom_site_fract_y
_atom_site_fract_z
_atom_site_occupancy
Cs1 0.000 0.000 0.000 1
Mg1 0.500 0.500 0.500 1
Sb1 0.000 0.500 0.000 1
I1 0.000 0.000 0.500 1
```

Total magnetization ... 2.09 μB per cell
Formation energy (no corrections) ... 959.9 meV/atom

---

No. 9
Computed, not measured: a relaxed structure of CsMgSbI6 at the PBE level of DFT.

The structure in CIF format:
```
data_CsMgSbI6
_chemical_formula_sum 'Cs1 Mg1 Sb1 I6'
_symmetry_space_group_name_H-M 'P 3 1 2'
_symmetry_Int_Tables_number 149
_cell_length_a 7.7669
_cell_length_b 7.7669
_cell_length_c 8.7588
_cell_angle_alpha 90.00
_cell_angle_beta 90.00
_cell_angle_gamma 120.00
loop_
_symmetry_equiv_pos_as_xyz
'x,y,z'
'-y,x-y,z'
'-x+y,-x,z'
'-y,-x,-z'
'-x+y,y,-z'
'x,x-y,-z'
loop_
_atom_site_label
_atom_site_fract_x
_atom_site_fract_y
_atom_site_fract_z
_atom_site_occupancy
Cs1 0.0000 0.0000 0.0000 1
Mg1 0.3333 0.6667 0.5000 1
Sb1 0.6667 0.3333 0.5000 1
I1 0.0106 0.3757 0.6975 1
```

Total magnetization ... 0.00 μB per cell
Formation energy (no corrections) ... -841.5 meV/atom

---

No. 10
Computed, not measured: a relaxed structure of CsMgSc2I8 at the PBE level of DFT.

The structure in CIF format:
```
data_CsMgSc2I8
_chemical_formula_sum 'Cs3 Mg3 Sc6 I24'
_symmetry_space_group_name_H-M 'R -3'
_symmetry_Int_Tables_number 148
_symmetry_space_group_name_Hall '-R 3'
_cell_length_a 7.6625
_cell_length_b 7.6625
_cell_length_c 32.8061
_cell_angle_alpha 90.00
_cell_angle_beta 90.00
_cell_angle_gamma 120.00
loop_
_atom_site_label
_atom_site_fract_x
_atom_site_fract_y
_atom_site_fract_z
_atom_site_occupancy
Cs1 0.0000 0.0000 0.0000 1
Mg1 0.0000 0.0000 0.5000 1
Sc1 0.0000 0.0000 0.2443 1
I1 0.0000 0.0000 0.3275 1
I2 0.0065 0.3495 0.2204 1
```

Total magnetization ... 0.03 μB per cell
Formation energy (no corrections) ... -1095.4 meV/atom

---

No. 11
Computed, not measured: a relaxed structure of Cs2MgSeI6 at the PBE level of DFT.

The structure in CIF format:
```
data_Cs2MgSeI6
_chemical_formula_sum 'Cs4 Mg2 Se2 I12'
_symmetry_space_group_name_H-M 'I 4/m m m'
_symmetry_Int_Tables_number 139
_symmetry_space_group_name_Hall '-I 4 2'
_cell_length_a 8.611
_cell_length_b 8.611
_cell_length_c 11.878
_cell_angle_alpha 90.00
_cell_angle_beta 90.00
_cell_angle_gamma 90.00
loop_
_atom_site_label
_atom_site_fract_x
_atom_site_fract_y
_atom_site_fract_z
_atom_site_occupancy
Cs1 0.000 0.500 0.250 1
Mg1 0.000 0.000 0.000 1
Se1 0.000 0.000 0.500 1
I1 0.000 0.000 0.266 1
I2 0.236 0.236 0.000 1
```

Total magnetization ... 0.00 μB per cell
Formation energy (no corrections) ... -807.3 meV/atom

---

No. 12
Computed, not measured: a relaxed structure of CsSmMgI6 at the PBE level of DFT.

The structure in CIF format:
```
data_CsSmMgI6
_chemical_formula_sum 'Cs1 Sm1 Mg1 I6'
_symmetry_space_group_name_H-M 'P 3 1 2'
_symmetry_Int_Tables_number 149
_cell_length_a 7.8433
_cell_length_b 7.8433
_cell_length_c 8.7207
_cell_angle_alpha 90.00
_cell_angle_beta 90.00
_cell_angle_gamma 120.00
loop_
_symmetry_equiv_pos_as_xyz
'x,y,z'
'-y,x-y,z'
'-x+y,-x,z'
'-y,-x,-z'
'-x+y,y,-z'
'x,x-y,-z'
loop_
_atom_site_label
_atom_site_fract_x
_atom_site_fract_y
_atom_site_fract_z
_atom_site_occupancy
Cs1 0.0000 0.0000 0.0000 1
Sm1 0.3333 0.6667 0.5000 1
Mg1 0.6667 0.3333 0.5000 1
I1 0.3786 0.0135 0.7008 1
```

Total magnetization ... 0.00 μB per cell
Formation energy (no corrections) ... -1320.7 meV/atom